# PBE-GGA CaCuMo3, optimized geometry
data_CaCuMo3
_symmetry_space_group_name_H-M 'P m -3 m'
_symmetry_Int_Tables_number 221
_symmetry_space_group_name_Hall '-P 4 2 3'
_cell_length_a 4.5800
_cell_length_b 4.5800
_cell_length_c 4.5800
_cell_angle_alpha 90.00
_cell_angle_beta 90.00
_cell_angle_gamma 90.00
loop_
_atom_site_label
_atom_site_type_symbol
_atom_site_fract_x
_atom_site_fract_y
_atom_site_fract_z
Ca1 Ca 0.0000 0.0000 0.0000
Cu1 Cu 0.5000 0.5000 0.5000
Mo1 Mo 0.0000 0.0000 0.5000
# Total magnetization: 0.000 μB per formula unit
# Energy above the lowest structure with this stoichiometry: 617.0 kJ/mol of formula units
# Crystal system: cubic
# DFT formation energy: 2.75 eV per atom

# PBE-GGA RbUWN4, optimized geometry
data_RbUWN4
_symmetry_space_group_name_H-M 'P 1 21/m 1'
_symmetry_Int_Tables_number 11
_cell_length_a 6.0548
_cell_length_b 5.9884
_cell_length_c 8.1052
_cell_angle_alpha 90.00
_cell_angle_beta 110.12
_cell_angle_gamma 90.00
loop_
_symmetry_equiv_pos_as_xyz
'x,y,z'
'-x,-y,-z'
'-x,y+1/2,-z'
'x,-y+1/2,z'
loop_
_atom_site_label
_atom_site_type_symbol
_atom_site_fract_x
_atom_site_fract_y
_atom_site_fract_z
Rb1 Rb 0.1753 0.2500 0.4328
U1 U 0.2952 0.2500 0.9585
W1 W 0.2486 0.7500 0.1500
N1 N 0.0107 0.7500 0.9378
N2 N 0.0326 0.7500 0.2721
N3 N 0.4625 0.5123 0.1575
# Formation energy (no corrections): -0.65 eV per atom
# Total magnetization: 1.007 μB per formula unit
# Crystal system: monoclinic

# PBE-GGA CsRb, optimized geometry
data_CsRb
_symmetry_space_group_name_H-M 'P -1'
_symmetry_Int_Tables_number 2
_cell_length_a 5.2370
_cell_length_b 8.5402
_cell_length_c 9.0381
_cell_angle_alpha 89.95
_cell_angle_beta 89.76
_cell_angle_gamma 89.96
loop_
_symmetry_equiv_pos_as_xyz
'x,y,z'
'-x,-y,-z'
loop_
_atom_site_label
_atom_site_type_symbol
_atom_site_fract_x
_atom_site_fract_y
_atom_site_fract_z
Cs1 Cs 0.0053 0.2493 0.1749
Rb1 Rb 0.4992 0.2509 0.6650
# Total magnetization: 0.000 μB per formula unit
# Energy above the lowest structure with this stoichiometry: 0.2 kJ/mol of formula units
# Crystal system: triclinic
# DFT formation energy: 0.00 eV per atom

# PBE-GGA Pm6Pr3Sm2Tl, optimized geometry
data_Pm6Pr3Sm2Tl
_symmetry_space_group_name_H-M 'C 1 2/m 1'
_symmetry_Int_Tables_number 12
_cell_length_a 6.2707
_cell_length_b 10.8959
_cell_length_c 11.9935
_cell_angle_alpha 90.00
_cell_angle_beta 100.25
_cell_angle_gamma 90.00
loop_
_symmetry_equiv_pos_as_xyz
'x,y,z'
'-x,-y,-z'
'-x,y,-z'
'x,-y,z'
'x+1/2,y+1/2,z'
'-x+1/2,-y+1/2,-z'
'-x+1/2,y+1/2,-z'
'x+1/2,-y+1/2,z'
loop_
_atom_site_label
_atom_site_type_symbol
_atom_site_fract_x
_atom_site_fract_y
_atom_site_fract_z
Pm1 Pm 0.2442 0.0000 0.2536
Pm2 Pm 0.2437 0.1629 0.7444
Pr1 Pr 0.0000 0.1690 0.0000
Pr2 Pr 0.0000 0.5000 0.0000
Sm1 Sm 0.0000 0.3340 0.5000
Tl1 Tl 0.0000 0.0000 0.5000
# Total magnetization: 0.000 μB per formula unit
# Crystal system: monoclinic
# DFT formation energy: -0.02 eV per atom

# PBE-GGA CaLaSN, optimized geometry
data_CaLaSN
_symmetry_space_group_name_H-M 'R 3 m'
_symmetry_Int_Tables_number 160
_symmetry_space_group_name_Hall 'R 3 -2"'
_cell_length_a 3.8617
_cell_length_b 3.8617
_cell_length_c 19.3903
_cell_angle_alpha 90.00
_cell_angle_beta 90.00
_cell_angle_gamma 120.00
loop_
_atom_site_label
_atom_site_type_symbol
_atom_site_fract_x
_atom_site_fract_y
_atom_site_fract_z
Ca1 Ca 0.0000 0.0000 0.0000
La1 La 0.0000 0.0000 0.4758
S1 S 0.0000 0.0000 0.2470
N1 N 0.0000 0.0000 0.7504
# Formation energy (no corrections): -1.69 eV per atom
# Total magnetization: 0.000 μB per formula unit
# Crystal system: trigonal

# PBE-GGA Sr2LaCr, optimized geometry
data_Sr2LaCr
_symmetry_space_group_name_H-M 'I m m m'
_symmetry_Int_Tables_number 71
_symmetry_space_group_name_Hall '-I 2 2'
_cell_length_a 3.8568
_cell_length_b 4.7166
_cell_length_c 18.2190
_cell_angle_alpha 90.00
_cell_angle_beta 90.00
_cell_angle_gamma 90.00
loop_
_atom_site_label
_atom_site_type_symbol
_atom_site_fract_x
_atom_site_fract_y
_atom_site_fract_z
Sr1 Sr 0.0000 0.0000 0.1635
La1 La 0.0000 0.5000 0.0000
Cr1 Cr 0.0000 0.5000 0.5000
# Total magnetization: 3.575 μB per formula unit
# Energy above the lowest structure with this stoichiometry: 53.0 kJ/mol of formula units
# Crystal system: orthorhombic
# DFT formation energy: 0.47 eV per atom

# PBE-GGA CeDy4Tm5, optimized geometry
data_CeDy4Tm5
_symmetry_space_group_name_H-M 'I 4 m m'
_symmetry_Int_Tables_number 107
_symmetry_space_group_name_Hall 'I 4 -2'
_cell_length_a 10.5125
_cell_length_b 10.5125
_cell_length_c 5.6477
_cell_angle_alpha 90.00
_cell_angle_beta 90.00
_cell_angle_gamma 90.00
loop_
_atom_site_label
_atom_site_type_symbol
_atom_site_fract_x
_atom_site_fract_y
_atom_site_fract_z
Ce1 Ce 0.0000 0.0000 0.0000
Dy1 Dy 0.1848 0.1848 0.1858
Tm1 Tm 0.0000 0.0000 0.5264
Tm2 Tm 0.0000 0.3299 0.6876
# Total magnetization: 0.646 μB per formula unit
# Energy above the lowest structure with this stoichiometry: 182.4 kJ/mol of formula units
# Crystal system: tetragonal
# DFT formation energy: 0.28 eV per atom

# PBE-GGA ZnAgP2, optimized geometry
data_ZnAgP2
_symmetry_space_group_name_H-M 'P 4/m m m'
_symmetry_Int_Tables_number 123
_symmetry_space_group_name_Hall '-P 4 2'
_cell_length_a 5.0446
_cell_length_b 5.0446
_cell_length_c 2.5971
_cell_angle_alpha 90.00
_cell_angle_beta 90.00
_cell_angle_gamma 90.00
loop_
_atom_site_label
_atom_site_type_symbol
_atom_site_fract_x
_atom_site_fract_y
_atom_site_fract_z
Zn1 Zn 0.0000 0.0000 0.0000
Ag1 Ag 0.5000 0.5000 0.0000
P1 P 0.0000 0.5000 0.5000
# Total magnetization: 0.000 μB per formula unit
# Crystal system: tetragonal
# DFT formation energy: 0.39 eV per atom